Crystalline LaPm6Y3 at its relaxed geometry. Source: Alexandria via LeMat-Bulk, functional PBE.

Values from the calculation:
- Magnetization: 0.0000 μB per atom
- Energy: -5.15 eV/atom
- Crystal system: orthorhombic

abc: 11.204 19.445 6.255
angles: 90.00 90.00 90.00
Space group Cmc2_1 (No. 36)
Unique sites:
La1 0.000 0.196 0.000 (multiplicity 4)
Pm1 0.000 0.040 0.804 (multiplicity 4)
Pm2 0.000 0.282 0.534 (multiplicity 4)
Pm3 0.166 0.457 0.437 (multiplicity 8)
Pm4 0.241 0.290 0.275 (multiplicity 8)
Y1 0.000 0.385 0.979 (multiplicity 4)
Y2 0.172 0.113 0.365 (multiplicity 8)